# PBE BaSrAg2, relaxed
data_BaSrAg2
_cell_length_a 4.758
_cell_length_b 4.758
_cell_length_c 6.726
_cell_angle_alpha 90.00
_cell_angle_beta 90.00
_cell_angle_gamma 90.00
_space_group_name_H-M_alt 'P 4/m m m'
_space_group_IT_number 123
_space_group_name_Hall '-P 4 2'
loop_
_atom_site_label
_atom_site_fract_x
_atom_site_fract_y
_atom_site_fract_z
Ba1 0.000 0.000 0.000
Sr1 0.500 0.500 0.500
Ag1 0.000 0.000 0.500
Ag2 0.500 0.500 0.000
# Energy above the most stable polymorph in this dataset (meV per atom): 123
# Calculated formation energy (meV/atom): -161



# PBE ScAg3Ge, relaxed
data_ScAg3Ge
_cell_length_a 5.110
_cell_length_b 5.110
_cell_length_c 5.110
_cell_angle_alpha 90.00
_cell_angle_beta 90.00
_cell_angle_gamma 90.00
_space_group_name_H-M_alt 'P m -3 m'
_space_group_IT_number 221
_space_group_name_Hall '-P 4 2 3'
loop_
_atom_site_label
_atom_site_fract_x
_atom_site_fract_y
_atom_site_fract_z
Sc1 0.000 0.000 0.000
Ag1 0.000 0.000 0.500
Ge1 0.500 0.500 0.500
# Energy above the most stable polymorph in this dataset (meV per atom): 671
# Calculated formation energy (meV/atom): 1006



Sm2HPb2: relaxed, PBE.

CIF file:
```
data_Sm2HPb2
_cell_length_a 4.140
_cell_length_b 15.788
_cell_length_c 8.264
_cell_angle_alpha 90.00
_cell_angle_beta 90.00
_cell_angle_gamma 90.00
_space_group_name_H-M_alt 'C m c 21'
_space_group_IT_number 36
loop_
_space_group_symop_operation_xyz
'x,y,z'
'-x,-y,z+1/2'
'-x,y,z'
'x,-y,z+1/2'
'x+1/2,y+1/2,z'
'-x+1/2,-y+1/2,z+1/2'
'-x+1/2,y+1/2,z'
'x+1/2,-y+1/2,z+1/2'
loop_
_atom_site_label
_atom_site_fract_x
_atom_site_fract_y
_atom_site_fract_z
Sm1 0.000 0.039 0.000
Sm2 0.000 0.349 0.843
H1 0.000 0.083 0.306
Pb1 0.000 0.297 0.469
Pb2 0.000 0.428 0.201
```



# PBE Tb6Y3Er2Pu, relaxed
data_Tb6Y3Er2Pu
_cell_length_a 6.137
_cell_length_b 10.630
_cell_length_c 11.700
_cell_angle_alpha 90.00
_cell_angle_beta 100.08
_cell_angle_gamma 90.00
_space_group_name_H-M_alt 'C 1 2/m 1'
_space_group_IT_number 12
loop_
_space_group_symop_operation_xyz
'x,y,z'
'-x,-y,-z'
'-x,y,-z'
'x,-y,z'
'x+1/2,y+1/2,z'
'-x+1/2,-y+1/2,-z'
'-x+1/2,y+1/2,-z'
'x+1/2,-y+1/2,z'
loop_
_atom_site_label
_atom_site_fract_x
_atom_site_fract_y
_atom_site_fract_z
Tb1 0.247 0.165 0.247
Tb2 0.248 0.000 0.753
Y1 0.000 0.167 0.500
Y2 0.000 0.500 0.500
Er1 0.000 0.333 0.000
Pu1 0.000 0.000 0.000
# Calculated formation energy (meV/atom): 44



# PBE Hf3ZrRh4, relaxed
data_Hf3ZrRh4
_cell_length_a 4.5889
_cell_length_b 4.5889
_cell_length_c 23.2097
_cell_angle_alpha 90.00
_cell_angle_beta 90.00
_cell_angle_gamma 120.00
_space_group_name_H-M_alt 'R -3 m'
_space_group_IT_number 166
_space_group_name_Hall '-R 3 2"'
loop_
_atom_site_label
_atom_site_fract_x
_atom_site_fract_y
_atom_site_fract_z
Hf1 0.0000 0.0000 0.0000
Hf2 0.0000 0.0000 0.2482
Zr1 0.0000 0.0000 0.5000
Rh1 0.0000 0.0000 0.1159
Rh2 0.0000 0.0000 0.3714
# Calculated formation energy (meV/atom): -844



# PBE LiCoIr2, relaxed
data_LiCoIr2
_cell_length_a 3.787
_cell_length_b 3.787
_cell_length_c 3.557
_cell_angle_alpha 90.00
_cell_angle_beta 90.00
_cell_angle_gamma 90.00
_space_group_name_H-M_alt 'P 4/m m m'
_space_group_IT_number 123
_space_group_name_Hall '-P 4 2'
loop_
_atom_site_label
_atom_site_fract_x
_atom_site_fract_y
_atom_site_fract_z
Li1 0.000 0.000 0.000
Co1 0.500 0.500 0.000
Ir1 0.000 0.500 0.500
# Energy above the most stable polymorph in this dataset (meV per atom): 126
# Calculated formation energy (meV/atom): 93



# PBE BaHo3Ru, relaxed
data_BaHo3Ru
_cell_length_a 5.504
_cell_length_b 5.504
_cell_length_c 5.504
_cell_angle_alpha 90.00
_cell_angle_beta 90.00
_cell_angle_gamma 90.00
_space_group_name_H-M_alt 'P m -3 m'
_space_group_IT_number 221
_space_group_name_Hall '-P 4 2 3'
loop_
_atom_site_label
_atom_site_fract_x
_atom_site_fract_y
_atom_site_fract_z
Ba1 0.000 0.000 0.000
Ho1 0.000 0.500 0.500
Ru1 0.500 0.500 0.500
# Calculated formation energy (meV/atom): -125



# PBE TbCu2Pt5, relaxed
data_TbCu2Pt5
_cell_length_a 3.753
_cell_length_b 7.521
_cell_length_c 9.551
_cell_angle_alpha 90.00
_cell_angle_beta 90.00
_cell_angle_gamma 90.00
_space_group_name_H-M_alt 'I m m m'
_space_group_IT_number 71
_space_group_name_Hall '-I 2 2'
loop_
_atom_site_label
_atom_site_fract_x
_atom_site_fract_y
_atom_site_fract_z
Tb1 0.000 0.000 0.000
Cu1 0.000 0.500 0.267
Pt1 0.000 0.193 0.353
Pt2 0.000 0.500 0.000
# Calculated formation energy (meV/atom): -370



Record order is preserved below.
V: 38.1 26.7 27.0 31.3 17.6 12.8 33.4 16.8 A^3/atom
Record order is preserved below.
E_tot: -2.49 -2.89 -4.43 -5.84 -9.32 -6.59 -5.11 -5.75 eV/atom
Record order is preserved below.
D(E_F): 2.8 4.5 1.4 24.3 6.7 5.7 5.0 4.8 states/eV/f.u.